(1)
Entry from Alexandria via LeMat-Bulk: Nd6Br12N after structural relaxation (PBE).

Formation energy from raw total energies   -1.51 eV/atom
SG   R-3m (166)
Volume   568.7 Å³/cell

a = 8.5570 Å, b = 8.5570 Å, c = 8.5570 Å
α = 74.50°, β = 74.50°, γ = 74.50°
Last column: nearest neighbours and their distance in Å.
Element x y z (fractional)
Nd (0.2843, 0.2843, 0.6852)  1 N 2.83, 6 Br 2.93-3.16
Nd (0.2843, 0.6852, 0.2843)  1 N 2.83, 6 Br 2.93-3.16
Nd (0.3148, 0.7157, 0.7157)  1 N 2.83, 6 Br 2.93-3.16
Nd (0.6852, 0.2843, 0.2843)  1 N 2.83, 6 Br 2.93-3.16
Nd (0.7157, 0.3148, 0.7157)  1 N 2.83, 6 Br 2.93-3.16
Nd (0.7157, 0.7157, 0.3148)  1 N 2.83, 6 Br 2.93-3.16
Br (0.0544, 0.0544, 0.6745)  3 Nd 3.15-3.16, 4 Br 3.35-3.49
Br (0.0544, 0.6745, 0.0544)  3 Nd 3.15-3.16, 4 Br 3.35-3.49
Br (0.0659, 0.6108, 0.6108)  3 Nd 2.93-2.94
Br (0.3255, 0.9456, 0.9456)  3 Nd 3.15-3.16, 4 Br 3.35-3.49
Br (0.3892, 0.3892, 0.9341)  3 Nd 2.93-2.94
Br (0.3892, 0.9341, 0.3892)  3 Nd 2.93-2.94
Br (0.6108, 0.0659, 0.6108)  3 Nd 2.93-2.94
Br (0.6108, 0.6108, 0.0659)  3 Nd 2.93-2.94
Br (0.6745, 0.0544, 0.0544)  3 Nd 3.15-3.16, 4 Br 3.35-3.49
Br (0.9341, 0.3892, 0.3892)  3 Nd 2.93-2.94
Br (0.9456, 0.3255, 0.9456)  3 Nd 3.15-3.16, 4 Br 3.35-3.49
Br (0.9456, 0.9456, 0.3255)  3 Nd 3.15-3.16, 4 Br 3.35-3.49
N (0.5000, 0.5000, 0.5000)  6 Nd 2.83

(2)
Entry from Alexandria via LeMat-Bulk: LiVPdAu after structural relaxation (PBE).

SG   F-43m (216)
DFT formation energy   -0.169 eV per atom
Volume   60.7 Å³/cell

a = 4.4121 Å, b = 4.4121 Å, c = 4.4121 Å
α = 60.00°, β = 60.00°, γ = 60.00°
Last column: nearest neighbours and their distance in Å.
Element x y z (fractional)
Li (0.0000, 0.0000, 0.0000)  4 Pd 2.70, 4 Au 2.70
V (0.5000, 0.5000, 0.5000)  4 Pd 2.70, 4 Au 2.70
Pd (0.7500, 0.7500, 0.7500)  4 Li 2.70, 4 V 2.70
Au (0.2500, 0.2500, 0.2500)  4 Li 2.70, 4 V 2.70

(3)
Entry from Alexandria via LeMat-Bulk: HoZr2ReC4 after structural relaxation (PBE).

SG   Cmcm (63)
DFT formation energy   -0.314 eV per atom
Volume   225.8 Å³/cell

a = 6.0573 Å, b = 6.0573 Å, c = 11.6668 Å
α = 90.00°, β = 90.00°, γ = 148.16°
Last column: nearest neighbours and their distance in Å.
Element x y z (fractional)
Ho (0.1048, 0.8952, 0.7500)  6 C 2.52-2.72
Ho (0.8952, 0.1048, 0.2500)  6 C 2.52-2.72
Zr (0.3692, 0.6308, 0.5372)  5 C 2.23-2.46
Zr (0.3692, 0.6308, 0.9628)  5 C 2.23-2.46
Zr (0.6308, 0.3692, 0.0372)  5 C 2.23-2.46
Zr (0.6308, 0.3692, 0.4628)  5 C 2.23-2.46
Re (0.1581, 0.8419, 0.2500)  4 C 1.93-2.03
Re (0.8419, 0.1581, 0.7500)  4 C 1.93-2.03
C (0.0000, 0.0000, 0.0000)  4 Zr 2.30
C (0.0000, 0.0000, 0.5000)  4 Zr 2.30
C (0.2622, 0.7378, 0.1211)  1 Re 1.93
C (0.2622, 0.7378, 0.3789)  1 Re 1.93
C (0.4424, 0.5576, 0.7500)  2 Re 2.03
C (0.5576, 0.4424, 0.2500)  2 Re 2.03
C (0.7378, 0.2622, 0.6211)  1 Re 1.93
C (0.7378, 0.2622, 0.8789)  1 Re 1.93

(4)
Entry from Alexandria via LeMat-Bulk: KTeRh2 after structural relaxation (PBE).

Formation energy from raw total energies   0.19 eV/atom
SG   Pmmm (47)
Volume   87.0 Å³/cell

a = 3.2523 Å, b = 3.2683 Å, c = 8.1849 Å
α = 90.00°, β = 90.00°, γ = 90.00°
Last column: nearest neighbours and their distance in Å.
Element x y z (fractional)
K (0.0000, 0.0000, 0.0000)  4 K 3.25-3.27, 8 Rh 3.49
Te (0.0000, 0.0000, 0.5000)  8 Rh 2.74
Rh (0.5000, 0.5000, 0.3195)  4 Te 2.74, 1 Rh 2.95
Rh (0.5000, 0.5000, 0.6805)  4 Te 2.74, 1 Rh 2.95

(5)
Entry from Alexandria via LeMat-Bulk: Tc2SeF after structural relaxation (PBE).

Formation energy from raw total energies   0.49 eV/atom
SG   I-42d (122)
Offset from the most stable computed form   0.461 eV per atom
Volume   141.3 Å³/cell

a = 5.9656 Å, b = 5.9656 Å, c = 5.9656 Å
α = 123.53°, β = 123.53°, γ = 83.98°
Last column: nearest neighbours and their distance in Å.
Element x y z (fractional)
Tc (0.1056, 0.6250, 0.9806)  2 F 2.22, 2 Se 2.35
Tc (0.3750, 0.3556, 0.4806)  2 F 2.22, 2 Se 2.35
Tc (0.6444, 0.1250, 0.0194)  2 F 2.22, 2 Se 2.35
Tc (0.8750, 0.8944, 0.5194)  2 F 2.22, 2 Se 2.35
Se (0.2500, 0.7500, 0.5000)  4 Tc 2.35
Se (0.5000, 0.5000, 0.0000)  4 Tc 2.35
F (0.0000, 0.0000, 0.0000)  4 Tc 2.22
F (0.7500, 0.2500, 0.5000)  4 Tc 2.22

(6)
Entry from Alexandria via LeMat-Bulk: SrMg4Tl12 after structural relaxation (PBE).

SG   Im-3 (204)
DFT formation energy   0.096 eV per atom
Volume   540.1 Å³/cell

a = 8.8858 Å, b = 8.8858 Å, c = 8.8858 Å
α = 109.47°, β = 109.47°, γ = 109.47°
Last column: nearest neighbours and their distance in Å.
Element x y z (fractional)
Sr (0.0000, 0.0000, 0.0000)  12 Tl 3.94
Mg (0.0000, 0.0000, 0.5000)  6 Tl 2.92
Mg (0.0000, 0.5000, 0.0000)  6 Tl 2.92
Mg (0.5000, 0.0000, 0.0000)  6 Tl 2.92
Mg (0.5000, 0.5000, 0.5000)  6 Tl 2.92
Tl (0.1582, 0.5078, 0.3496)  2 Mg 2.92, 2 Tl 3.09-3.25
Tl (0.1582, 0.8086, 0.6504)  2 Mg 2.92, 2 Tl 3.09-3.25
Tl (0.1914, 0.3496, 0.8418)  2 Mg 2.92, 2 Tl 3.09-3.25
Tl (0.3496, 0.1582, 0.5078)  2 Mg 2.92, 2 Tl 3.09-3.25
Tl (0.3496, 0.8418, 0.1914)  2 Mg 2.92, 2 Tl 3.09-3.25
Tl (0.4922, 0.6504, 0.8418)  2 Mg 2.92, 2 Tl 3.09-3.25
Tl (0.5078, 0.3496, 0.1582)  2 Mg 2.92, 2 Tl 3.09-3.25
Tl (0.6504, 0.1582, 0.8086)  2 Mg 2.92, 2 Tl 3.09-3.25
Tl (0.6504, 0.8418, 0.4922)  2 Mg 2.92, 2 Tl 3.09-3.25
Tl (0.8086, 0.6504, 0.1582)  2 Mg 2.92, 2 Tl 3.09-3.25
Tl (0.8418, 0.1914, 0.3496)  2 Mg 2.92, 2 Tl 3.09-3.25
Tl (0.8418, 0.4922, 0.6504)  2 Mg 2.92, 2 Tl 3.09-3.25

(7)
Entry from Alexandria via LeMat-Bulk: PrGd2Te after structural relaxation (PBE).

Formation energy from raw total energies   -0.60 eV/atom
SG   P4/mmm (123)
Offset from the most stable computed form   0.000 eV per atom
Volume   124.2 Å³/cell

a = 3.9264 Å, b = 3.9264 Å, c = 8.0544 Å
α = 90.00°, β = 90.00°, γ = 90.00°
Last column: nearest neighbours and their distance in Å.
Element x y z (fractional)
Pr (0.0000, 0.0000, 0.0000)  8 Gd 3.60, 4 Pr 3.93, 2 Te 4.03
Gd (0.5000, 0.5000, 0.2846)  4 Te 3.27, 1 Gd 3.47, 4 Pr 3.60
Gd (0.5000, 0.5000, 0.7154)  4 Te 3.27, 1 Gd 3.47, 4 Pr 3.60
Te (0.0000, 0.0000, 0.5000)  8 Gd 3.27

(8)
Entry from Alexandria via LeMat-Bulk: Y3AlTc after structural relaxation (PBE).

SG   Pm-3m (221)
Offset from the most stable computed form   0.000 eV per atom
DFT formation energy   0.230 eV per atom
Volume   147.5 Å³/cell

a = 5.2839 Å, b = 5.2839 Å, c = 5.2839 Å
α = 90.00°, β = 90.00°, γ = 90.00°
Last column: nearest neighbours and their distance in Å.
Element x y z (fractional)
Y (0.0000, 0.0000, 0.5000)  2 Tc 2.64
Y (0.0000, 0.5000, 0.0000)  2 Tc 2.64
Y (0.5000, 0.0000, 0.0000)  2 Tc 2.64
Al (0.5000, 0.5000, 0.5000)  12 Y 3.74
Tc (0.0000, 0.0000, 0.0000)  6 Y 2.64

(9)
Entry from Alexandria via LeMat-Bulk: Cd2BMoW after structural relaxation (PBE).

SG   P4/mmm (123)
DFT formation energy   2.228 eV per atom
Volume   133.6 Å³/cell

a = 5.3769 Å, b = 5.3769 Å, c = 4.6214 Å
α = 90.00°, β = 90.00°, γ = 90.00°
Last column: nearest neighbours and their distance in Å.
Element x y z (fractional)
Cd (0.0000, 0.5000, 0.0000)  2 W 2.69
Cd (0.5000, 0.0000, 0.0000)  2 W 2.69
B (0.0000, 0.0000, 0.5000)  8 Cd 3.54, 4 Mo 3.80
Mo (0.5000, 0.5000, 0.5000)  2 W 2.31
W (0.5000, 0.5000, 0.0000)  2 Mo 2.31

(10)
Entry from Alexandria via LeMat-Bulk: Al3BrF after structural relaxation (PBE).

Formation energy from raw total energies   0.52 eV/atom
SG   Pm-3m (221)
Offset from the most stable computed form   0.656 eV per atom
Volume   185.6 Å³/cell

a = 5.7039 Å, b = 5.7039 Å, c = 5.7039 Å
α = 90.00°, β = 90.00°, γ = 90.00°
Last column: nearest neighbours and their distance in Å.
Element x y z (fractional)
Al (0.0000, 0.0000, 0.5000)  2 Br 2.85
Al (0.0000, 0.5000, 0.0000)  2 Br 2.85
Al (0.5000, 0.0000, 0.0000)  2 Br 2.85
Br (0.0000, 0.0000, 0.0000)  6 Al 2.85
F (0.5000, 0.5000, 0.5000)  12 Al 4.03

(11)
Entry from Alexandria via LeMat-Bulk: HoTlP2 after structural relaxation (PBE).

SG   P4/mmm (123)
Offset from the most stable computed form   0.000 eV per atom
DFT formation energy   -0.586 eV per atom
Volume   92.7 Å³/cell

a = 3.8008 Å, b = 3.8008 Å, c = 6.4198 Å
α = 90.00°, β = 90.00°, γ = 90.00°
Last column: nearest neighbours and their distance in Å.
Element x y z (fractional)
Ho (0.0000, 0.0000, 0.0000)  8 P 2.91, 2 Tl 3.21
Tl (0.0000, 0.0000, 0.5000)  2 Ho 3.21, 8 P 3.40
P (0.5000, 0.5000, 0.1750)  1 P 2.25
P (0.5000, 0.5000, 0.8250)  1 P 2.25

(12)
Entry from Alexandria via LeMat-Bulk: LaCoRu2C after structural relaxation (PBE).

SG   P4/mmm (123)
DFT formation energy   -0.001 eV per atom
Volume   72.3 Å³/cell

a = 4.2368 Å, b = 4.2368 Å, c = 4.0268 Å
α = 90.00°, β = 90.00°, γ = 90.00°
Last column: nearest neighbours and their distance in Å.
Element x y z (fractional)
La (0.0000, 0.0000, 0.0000)  8 Ru 2.92, 4 Co 3.00
Co (0.5000, 0.5000, 0.0000)  2 C 2.01
Ru (0.0000, 0.5000, 0.5000)  2 C 2.12
Ru (0.5000, 0.0000, 0.5000)  2 C 2.12
C (0.5000, 0.5000, 0.5000)  2 Co 2.01, 4 Ru 2.12